1.
Computed, not measured: a PBEsol-optimized structure of K2CoCl at the SCAN level of DFT.

Summary:
E_form (uncorrected) ... -448 meV/atom
VASP energy ... -10.933 eV/atom
Calculated volume ... 33.6 Å³ per atom
Relative energy among the computed polymorphs ... 0.000 eV per atom

Unit cell a=4.5447 b=4.5471 c=6.4979 alpha=90.00 beta=90.00 gamma=90.07
Closest atoms and distances in Å follow each position.
Fractional coordinates of all 4 atoms:
K1 0.0000 0.0000 0.8753  4 Co 3.21-3.22, 2 Cl 3.25
K2 0.5000 0.5000 0.3747  4 Cl 3.21-3.22, 2 Co 3.25
Co1 0.5000 0.5000 0.8748  6 K 3.21-3.25
Cl1 0.0000 0.0000 0.3752  6 K 3.21-3.25

***

2.
Computed, not measured: a PBEsol-optimized structure of K2CoCl at the SCAN level of DFT.

Summary:
E_form (uncorrected) ... -432 meV/atom
VASP energy ... -10.917 eV/atom
Calculated volume ... 30.8 Å³ per atom
Relative energy among the computed polymorphs ... 0.016 eV per atom

Unit cell a=3.9203 b=5.2572 c=6.2966 alpha=90.00 beta=108.14 gamma=90.00
Closest atoms and distances in Å follow each position.
Fractional coordinates of all 4 atoms:
K1 0.0018 0.5000 0.0036  3 Co 3.23-3.38, 4 Cl 3.29
K2 0.2447 0.0000 0.4895  4 Co 3.28, 3 Cl 3.31-3.32
Co1 0.7323 0.5000 0.4646  7 K 3.23-3.38
Cl1 0.5211 0.0000 0.0423  7 K 3.29-3.32, 2 Co 3.65

***

3.
Computed, not measured: a PBEsol-optimized structure of KCo2Cl at the SCAN level of DFT.

Summary:
E_form (uncorrected) ... 183 meV/atom
VASP energy ... -12.546 eV/atom
Calculated volume ... 19.7 Å³ per atom
Relative energy among the computed polymorphs ... 0.000 eV per atom

Unit cell a=3.0842 b=4.3095 c=6.5047 alpha=109.30 beta=103.66 gamma=90.16
Closest atoms and distances in Å follow each position.
Fractional coordinates of all 4 atoms:
K1 0.5000 0.0000 0.0000  4 Cl 2.65
Co1 0.0000 0.0000 0.5000  4 Co 2.65
Co2 0.5000 0.5000 0.5000  4 Co 2.65
Cl1 0.0000 0.5000 0.0000  4 K 2.65

***

4.
Computed, not measured: a PBEsol-optimized structure of KCoS2Cl at the SCAN level of DFT.

Summary:
E_form (uncorrected) ... 1082 meV/atom
VASP energy ... -9.492 eV/atom
Calculated volume ... 30.9 Å³ per atom

Unit cell a=5.3183 b=5.3938 c=5.3938 alpha=90.00 beta=90.00 gamma=90.00
Closest atoms and distances in Å follow each position.
Fractional coordinates of all 5 atoms:
K1 0.0000 0.0000 0.0000  2 Cl 2.66, 4 S 2.70
Co1 0.5000 0.5000 0.5000  8 S 3.79, 4 Cl 3.81
S1 0.0000 0.0000 0.5000  2 K 2.70
S2 0.0000 0.5000 0.0000  2 K 2.70
Cl1 0.5000 0.0000 0.0000  2 K 2.66

***

5.
Computed, not measured: a PBEsol-optimized structure of LaCo2Cl at the SCAN level of DFT.

Summary:
E_form (uncorrected) ... -140 meV/atom
VASP energy ... -21.563 eV/atom
Calculated volume ... 18.7 Å³ per atom

Unit cell a=3.6311 b=3.9162 c=5.2483 alpha=90.00 beta=90.00 gamma=90.00
Closest atoms and distances in Å follow each position.
Fractional coordinates of all 4 atoms:
Cl1 0.0000 0.5000 0.5000  4 La 2.67
Co1 0.0000 0.0000 0.0000  4 Co 2.67
Co2 0.5000 0.5000 0.0000  4 Co 2.67
La1 0.5000 0.0000 0.5000  4 Cl 2.67

***

6.
Computed, not measured: a PBEsol-optimized structure of La2CoCl at the SCAN level of DFT.

Summary:
E_form (uncorrected) ... -984 meV/atom
VASP energy ... -28.857 eV/atom
Calculated volume ... 25.2 Å³ per atom
Relative energy among the computed polymorphs ... 0.000 eV per atom

Unit cell a=3.9473 b=3.9473 c=7.8176 alpha=75.38 beta=75.38 gamma=60.00
Closest atoms and distances in Å follow each position.
Fractional coordinates of all 4 atoms:
La1 0.2657 0.2657 0.2029  3 Co 2.74
La2 0.7343 0.7343 0.7971  3 Co 2.74
Co1 0.0000 0.0000 0.0000  6 La 2.74
Cl1 0.5000 0.5000 0.5000  6 La 3.18

***

7.
Computed, not measured: a PBEsol-optimized structure of La2CoCl at the SCAN level of DFT.

Summary:
E_form (uncorrected) ... -473 meV/atom
VASP energy ... -28.346 eV/atom
Calculated volume ... 22.0 Å³ per atom
Relative energy among the computed polymorphs ... 0.511 eV per atom

Unit cell a=3.9205 b=3.9205 c=6.3706 alpha=107.92 beta=107.92 gamma=90.00
Closest atoms and distances in Å follow each position.
Fractional coordinates of all 4 atoms:
Cl1 0.5000 0.5000 0.0000  4 La 2.77
Co1 0.2500 0.7500 0.5000  4 La 2.77
La1 0.0000 0.0000 0.0000  4 Cl 2.77
La2 0.7500 0.2500 0.5000  4 Co 2.77

***

8.
Computed, not measured: a PBEsol-optimized structure of LiCo2Cl at the SCAN level of DFT.

Summary:
E_form (uncorrected) ... 330 meV/atom
VASP energy ... -10.914 eV/atom
Calculated volume ... 13.1 Å³ per atom
Relative energy among the computed polymorphs ... 0.446 eV per atom

Unit cell a=2.7772 b=2.7772 c=7.9935 alpha=80.00 beta=80.00 gamma=60.00
Closest atoms and distances in Å follow each position.
Fractional coordinates of all 4 atoms:
Cl1 0.5000 0.5000 0.5000  6 Co 2.39
Co1 0.2423 0.2423 0.2730  3 Cl 2.39, 3 Li 2.67
Co2 0.7577 0.7577 0.7270  3 Cl 2.39, 3 Li 2.67
Li1 0.0000 0.0000 0.0000  6 Co 2.67, 6 Li 2.78

***

9.
Computed, not measured: a PBEsol-optimized structure of LiCo2Cl at the SCAN level of DFT.

Summary:
E_form (uncorrected) ... -116 meV/atom
VASP energy ... -11.361 eV/atom
Calculated volume ... 14.6 Å³ per atom
Relative energy among the computed polymorphs ... 0.000 eV per atom

Unit cell a=3.2472 b=3.2472 c=5.9897 alpha=105.70 beta=105.70 gamma=90.09
Closest atoms and distances in Å follow each position.
Fractional coordinates of all 4 atoms:
Cl1 0.5000 0.5000 0.0000  4 Li 2.29-2.30
Co1 0.0000 0.0000 0.5000  4 Co 2.29-2.30
Co2 0.5000 0.5000 0.5000  4 Co 2.29-2.30
Li1 0.0000 0.0000 0.0000  4 Cl 2.29-2.30

***

10.
Computed, not measured: a PBEsol-optimized structure of LiCo2Cl at the SCAN level of DFT.

Summary:
E_form (uncorrected) ... -80 meV/atom
VASP energy ... -11.325 eV/atom
Calculated volume ... 14.9 Å³ per atom
Relative energy among the computed polymorphs ... 0.036 eV per atom

Unit cell a=3.0727 b=3.2701 c=6.9234 alpha=80.87 beta=77.18 gamma=61.98
Closest atoms and distances in Å follow each position.
Fractional coordinates of all 4 atoms:
Cl1 0.3105 0.1177 0.2613  3 Li 2.32-2.35, 2 Co 2.50
Co1 0.9500 0.1315 0.9686  3 Co 2.18-2.19
Co2 0.7039 0.7959 0.7962  3 Co 2.18-2.19
Li1 0.5356 0.4550 0.4738  3 Cl 2.32-2.35

***

11.
Computed, not measured: a PBEsol-optimized structure of LiCoCl2 at the SCAN level of DFT.

Summary:
E_form (uncorrected) ... -1032 meV/atom
VASP energy ... -9.944 eV/atom
Calculated volume ... 17.8 Å³ per atom
Relative energy among the computed polymorphs ... 0.095 eV per atom

Unit cell a=3.4033 b=3.4033 c=7.3788 alpha=76.67 beta=76.67 gamma=60.00
Closest atoms and distances in Å follow each position.
Fractional coordinates of all 4 atoms:
Li1 0.5000 0.5000 0.5000  6 Cl 2.43
Co1 0.0000 0.0000 0.0000  2 Cl 2.12
Cl1 0.9005 0.9005 0.2986  1 Co 2.12
Cl2 0.0995 0.0995 0.7014  1 Co 2.12

***

12.
Computed, not measured: a PBEsol-optimized structure of LiCo2Cl at the SCAN level of DFT.

Summary:
E_form (uncorrected) ... 356 meV/atom
VASP energy ... -10.888 eV/atom
Calculated volume ... 12.5 Å³ per atom
Relative energy among the computed polymorphs ... 0.472 eV per atom

Unit cell a=3.1210 b=3.1210 c=5.1181 alpha=90.00 beta=90.00 gamma=90.00
Closest atoms and distances in Å follow each position.
Fractional coordinates of all 4 atoms:
Cl1 0.5000 0.5000 0.5000  2 Li 2.56, 8 Co 2.64
Co1 0.0000 0.0000 0.7831  1 Co 2.22, 4 Li 2.47
Co2 0.0000 0.0000 0.2169  1 Co 2.22, 4 Li 2.47
Li1 0.5000 0.5000 0.0000  8 Co 2.47, 2 Cl 2.56

***

13.
Computed, not measured: a PBEsol-optimized structure of LiCo2Cl at the SCAN level of DFT.

Summary:
E_form (uncorrected) ... 409 meV/atom
VASP energy ... -10.835 eV/atom
Calculated volume ... 12.9 Å³ per atom
Relative energy among the computed polymorphs ... 0.526 eV per atom

Unit cell a=2.6977 b=4.6493 c=4.7335 alpha=119.41 beta=90.00 gamma=90.00
Closest atoms and distances in Å follow each position.
Fractional coordinates of all 4 atoms:
Cl1 0.5000 0.5000 0.0000  2 Li 2.32
Co1 0.0000 0.0000 0.5000  2 Co 2.32
Co2 0.0000 0.5000 0.5000  2 Co 2.32
Li1 0.5000 0.0000 0.0000  2 Cl 2.32

***

14.
Computed, not measured: a PBEsol-optimized structure of Li6CoCl8 at the SCAN level of DFT.

Summary:
E_form (uncorrected) ... -1771 meV/atom
VASP energy ... -8.136 eV/atom
Calculated volume ... 17.2 Å³ per atom

Unit cell a=7.1392 b=7.1392 c=7.1392 alpha=60.00 beta=60.00 gamma=60.00
Closest atoms and distances in Å follow each position.
Fractional coordinates of all 15 atoms:
Cl1 0.7500 0.7500 0.7500  6 Li 2.52
Cl2 0.2500 0.2500 0.2500  6 Li 2.52
Cl3 0.7617 0.2383 0.7617  1 Co 2.41, 4 Li 2.53
Cl4 0.2383 0.7617 0.2383  1 Co 2.41, 4 Li 2.53
Cl5 0.2383 0.7617 0.7617  1 Co 2.41, 4 Li 2.53
Cl6 0.7617 0.2383 0.2383  1 Co 2.41, 4 Li 2.53
Cl7 0.7617 0.7617 0.2383  1 Co 2.41, 4 Li 2.53
Cl8 0.2383 0.2383 0.7617  1 Co 2.41, 4 Li 2.53
Co1 0.0000 0.0000 0.0000  6 Cl 2.41
Li1 0.0000 0.5000 0.0000  6 Cl 2.52-2.53
Li2 0.5000 0.0000 0.5000  6 Cl 2.52-2.53
Li3 0.5000 0.0000 0.0000  6 Cl 2.52-2.53
Li4 0.0000 0.5000 0.5000  6 Cl 2.52-2.53
Li5 0.0000 0.0000 0.5000  6 Cl 2.52-2.53
Li6 0.5000 0.5000 0.0000  6 Cl 2.52-2.53

***

15.
Computed, not measured: a PBEsol-optimized structure of Li2CoCl4 at the SCAN level of DFT.

Summary:
E_form (uncorrected) ... -1496 meV/atom
VASP energy ... -9.209 eV/atom
Calculated volume ... 18.1 Å³ per atom

Unit cell a=3.4774 b=6.2075 c=6.2075 alpha=109.30 beta=90.00 gamma=90.00
Closest atoms and distances in Å follow each position.
Fractional coordinates of all 7 atoms:
Cl1 0.5000 0.2295 0.2295  2 Co 2.40, 2 Li 2.54
Cl2 0.5000 0.7705 0.7705  2 Co 2.40, 2 Li 2.54
Cl3 0.0000 0.7617 0.2383  1 Co 2.41, 4 Li 2.50
Cl4 0.0000 0.2383 0.7617  1 Co 2.41, 4 Li 2.50
Co1 0.0000 0.0000 0.0000  6 Cl 2.40-2.41
Li1 0.5000 0.0000 0.5000  6 Cl 2.50-2.54
Li2 0.5000 0.5000 0.0000  6 Cl 2.50-2.54